Density functional theory data (GGA-PBE) for a relaxed BaHoInSe4 crystal.

## Properties
Final energy (eV per formula unit): -32.79
Size of the total moment (Bohr magnetons per cell): 0.00
Formation energy (no corrections) (eV/f.u.): -9.61

Cell lengths 7.0709, 7.2710, 8.8021 Å; angles 90.00, 106.95, 90.00 degrees
Closest atoms and distances in Å follow each position.
Space group P2_1/m (No. 11)
Symmetry-distinct sites (fractional):
Ba 0.2312 0.2500 0.0507 [2 per cell]  2 Se 3.08-3.17
Ho 0.2145 0.2500 0.5544 [2 per cell]  6 Se 2.83-3.00
In 0.2430 0.7500 0.3334 [2 per cell]  4 Se 2.53-2.62
Se 0.0197 0.5142 0.7154 [4 per cell]  1 In 2.62
Se 0.4552 0.7500 0.1431 [2 per cell]  1 In 2.55
Se 0.4924 0.7500 0.6062 [2 per cell]  1 In 2.53, 1 Ho 2.83